1.
A plane-wave DFT calculation with meta-GGA SCAN was carried out for ScIr2O at its PBEsol-relaxed geometry.

```
data_ScIr2O
_chemical_formula_sum 'Sc2 Ir4 O2'
_symmetry_space_group_name_H-M 'P 1'
_symmetry_Int_Tables_number 1
_cell_length_a 4.7052
_cell_length_b 4.7052
_cell_length_c 7.1192
_cell_angle_alpha 109.30
_cell_angle_beta 109.30
_cell_angle_gamma 90.00
loop_
_symmetry_equiv_pos_as_xyz
'x,y,z'
loop_
_atom_site_label
_atom_site_fract_x
_atom_site_fract_y
_atom_site_fract_z
_atom_site_occupancy
Ir1 0.6250 0.4585 0.7500 1
Ir2 0.5415 0.8750 0.2500 1
Ir3 0.1250 0.2915 0.7500 1
Ir4 0.7085 0.3750 0.2500 1
Sc1 0.0000 0.0000 0.0000 1
Sc2 0.2500 0.7500 0.5000 1
O1 0.7500 0.2500 0.5000 1
O2 0.5000 0.5000 0.0000 1
```

The total DFT energy (no corrections) comes out at -40.915 eV per atom. The value obtained for the density of states at the Fermi level is 3.33 states/eV/cell.

***

2.
A plane-wave DFT calculation with meta-GGA SCAN was carried out for RuSe at its PBEsol-relaxed geometry.

```
data_RuSe
_chemical_formula_sum 'Ru2 Se2'
_symmetry_space_group_name_H-M 'P 1'
_symmetry_Int_Tables_number 1
_cell_length_a 2.9964
_cell_length_b 2.9964
_cell_length_c 9.3034
_cell_angle_alpha 80.73
_cell_angle_beta 80.73
_cell_angle_gamma 60.00
loop_
_symmetry_equiv_pos_as_xyz
'x,y,z'
loop_
_atom_site_label
_atom_site_fract_x
_atom_site_fract_y
_atom_site_fract_z
_atom_site_occupancy
Se1 0.3976 0.3976 0.8072 1
Se2 0.6024 0.6024 0.1928 1
Ru1 0.8748 0.8748 0.3757 1
Ru2 0.1252 0.1252 0.6243 1
```

The total DFT energy (no corrections) comes out at -27.353 eV per atom. The value obtained for the density of states at the Fermi level is 3.25 states/eV/cell.

***

3.
A plane-wave DFT calculation with meta-GGA SCAN was carried out for K2CuNi at its PBEsol-relaxed geometry.

```
data_K2CuNi
_chemical_formula_sum 'K2 Cu1 Ni1'
_symmetry_space_group_name_H-M 'P 1'
_symmetry_Int_Tables_number 1
_cell_length_a 4.1928
_cell_length_b 5.4668
_cell_length_c 5.7762
_cell_angle_alpha 118.24
_cell_angle_beta 111.28
_cell_angle_gamma 90.00
loop_
_symmetry_equiv_pos_as_xyz
'x,y,z'
loop_
_atom_site_label
_atom_site_fract_x
_atom_site_fract_y
_atom_site_fract_z
_atom_site_occupancy
Cu1 0.8305 0.3305 0.6610 1
K1 0.0318 0.0318 0.0637 1
K2 0.2216 0.7216 0.4432 1
Ni1 0.4160 0.4160 0.8321 1
```

The calculation puts the energy of formation from the pure elements at 0.5463 eV/atom. The total DFT energy (no corrections) comes out at -11.461 eV per atom. The value obtained for the density of states at the Fermi level is 1.48 states/eV/cell. For the polymorph energy (0 for the lowest one), the calculation gives 10.6 meV/atom.

***

4.
A plane-wave DFT calculation with meta-GGA SCAN was carried out for Ba2MnSi at its PBEsol-relaxed geometry.

```
data_Ba2MnSi
_chemical_formula_sum 'Ba2 Mn1 Si1'
_symmetry_space_group_name_H-M 'P 1'
_symmetry_Int_Tables_number 1
_cell_length_a 3.9455
_cell_length_b 3.9455
_cell_length_c 8.1010
_cell_angle_alpha 90.00
_cell_angle_beta 90.00
_cell_angle_gamma 90.00
loop_
_symmetry_equiv_pos_as_xyz
'x,y,z'
loop_
_atom_site_label
_atom_site_fract_x
_atom_site_fract_y
_atom_site_fract_z
_atom_site_occupancy
Ba1 0.0000 0.0000 0.2667 1
Ba2 0.0000 0.0000 0.7333 1
Mn1 0.5000 0.5000 0.0000 1
Si1 0.5000 0.5000 0.5000 1
```

The total DFT energy (no corrections) comes out at -26.715 eV per atom. The value obtained for the density of states at the Fermi level is 3.37 states/eV/cell.

***

5.
A plane-wave DFT calculation with meta-GGA SCAN was carried out for FeCoOs2 at its PBEsol-relaxed geometry.

```
data_FeCoOs2
_chemical_formula_sum 'Fe1 Co1 Os2'
_symmetry_space_group_name_H-M 'P 1'
_symmetry_Int_Tables_number 1
_cell_length_a 2.6419
_cell_length_b 3.6403
_cell_length_c 5.1227
_cell_angle_alpha 90.00
_cell_angle_beta 90.00
_cell_angle_gamma 90.00
loop_
_symmetry_equiv_pos_as_xyz
'x,y,z'
loop_
_atom_site_label
_atom_site_fract_x
_atom_site_fract_y
_atom_site_fract_z
_atom_site_occupancy
Os1 0.0000 0.0000 0.9948 1
Os2 0.5000 0.5000 0.2591 1
Fe1 0.5000 0.5000 0.7350 1
Co1 0.0000 0.0000 0.5111 1
```

The calculation puts the energy of formation from the pure elements at 0.1525 eV/atom. The total DFT energy (no corrections) comes out at -44.646 eV per atom. The value obtained for the density of states at the Fermi level is 3.28 states/eV/cell. For the polymorph energy (0 for the lowest one), the calculation gives 0.0 meV/atom.

***

6.
A plane-wave DFT calculation with meta-GGA SCAN was carried out for LuMg2Ti3S8 at its PBEsol-relaxed geometry.

```
data_LuMg2Ti3S8
_chemical_formula_sum 'Lu1 Mg2 Ti3 S8'
_symmetry_space_group_name_H-M 'P 1'
_symmetry_Int_Tables_number 1
_cell_length_a 7.1521
_cell_length_b 7.1521
_cell_length_c 7.4809
_cell_angle_alpha 61.44
_cell_angle_beta 61.44
_cell_angle_gamma 60.00
loop_
_symmetry_equiv_pos_as_xyz
'x,y,z'
loop_
_atom_site_label
_atom_site_fract_x
_atom_site_fract_y
_atom_site_fract_z
_atom_site_occupancy
S1 0.7269 0.2483 0.7764 1
S2 0.2601 0.2601 0.2198 1
S3 0.7399 0.7399 0.7802 1
S4 0.2483 0.2483 0.7764 1
S5 0.7517 0.2731 0.2236 1
S6 0.2483 0.7269 0.7764 1
S7 0.7517 0.7517 0.2236 1
S8 0.2731 0.7517 0.2236 1
Ti1 0.0000 0.5000 0.0000 1
Ti2 0.5000 0.0000 0.0000 1
Ti3 0.5000 0.5000 0.0000 1
Mg1 0.8690 0.8690 0.3929 1
Mg2 0.1310 0.1310 0.6071 1
Lu1 0.5000 0.5000 0.5000 1
```

The total DFT energy (no corrections) comes out at -15.271 eV per atom. The value obtained for the density of states at the Fermi level is 6.69 states/eV/cell.

***

7.
A plane-wave DFT calculation with meta-GGA SCAN was carried out for ZrSc2In at its PBEsol-relaxed geometry.

```
data_ZrSc2In
_chemical_formula_sum 'Zr1 Sc2 In1'
_symmetry_space_group_name_H-M 'P 1'
_symmetry_Int_Tables_number 1
_cell_length_a 4.9683
_cell_length_b 4.9683
_cell_length_c 4.9683
_cell_angle_alpha 60.00
_cell_angle_beta 60.00
_cell_angle_gamma 60.00
loop_
_symmetry_equiv_pos_as_xyz
'x,y,z'
loop_
_atom_site_label
_atom_site_fract_x
_atom_site_fract_y
_atom_site_fract_z
_atom_site_occupancy
In1 0.5000 0.5000 0.5000 1
Zr1 0.2500 0.2500 0.2500 1
Sc1 0.7500 0.7500 0.7500 1
Sc2 0.0000 0.0000 0.0000 1
```

The calculation puts the energy of formation from the pure elements at -0.1690 eV/atom. The total DFT energy (no corrections) comes out at -23.309 eV per atom. The value obtained for the density of states at the Fermi level is 7.01 states/eV/cell.

***

8.
A plane-wave DFT calculation with meta-GGA SCAN was carried out for TaTi2TlAs at its PBEsol-relaxed geometry.

```
data_TaTi2TlAs
_chemical_formula_sum 'Ta1 Ti2 Tl1 As1'
_symmetry_space_group_name_H-M 'P 1'
_symmetry_Int_Tables_number 1
_cell_length_a 4.8583
_cell_length_b 4.8885
_cell_length_c 4.8885
_cell_angle_alpha 90.00
_cell_angle_beta 90.00
_cell_angle_gamma 90.00
loop_
_symmetry_equiv_pos_as_xyz
'x,y,z'
loop_
_atom_site_label
_atom_site_fract_x
_atom_site_fract_y
_atom_site_fract_z
_atom_site_occupancy
Ti1 0.0000 0.5000 0.0000 1
Ti2 0.0000 0.0000 0.5000 1
Ta1 0.0000 0.0000 0.0000 1
Tl1 0.5000 0.5000 0.5000 1
As1 0.5000 0.0000 0.0000 1
```

The calculation puts the energy of formation from the pure elements at 0.7112 eV/atom. The total DFT energy (no corrections) comes out at -37.527 eV per atom. The value obtained for the density of states at the Fermi level is 6.18 states/eV/cell.

***

no.,total magnetization (μB/atom)
1,0.0000
2,0.0001
3,0.0000
4,1.0950
5,0.9832
6,0.0003
7,0.0056
8,0.0016